Computed, not measured: an optimized crystal structure of Fe2SeF at the PBE with a Hubbard U level of DFT.

a b c (Å): 5.053 5.053 12.021
angles (deg): 90.00 90.00 90.00
Space group I-42d (No. 122)
Unique sites:
Fe  0.191  0.250  0.125
Se  0.000  0.000  0.500
F  0.000  0.000  0.000

Results
* E above lowest polymorph: 0 meV/atom
* DOS at the Fermi energy: 0.531 states/eV per atom